! MgAg2Hg GGA-PBE optimized geometry; values from VASP
&SYSTEM
  ibrav = 0, nat = 8, ntyp = 3
/
ATOMIC_SPECIES
Mg 24.30 Mg.upf
Hg 200.59 Hg.upf
Ag 107.87 Ag.upf
CELL_PARAMETERS angstrom
7.7679 0.0000 0.0000
0.0000 7.7679 0.0000
3.8839 3.8839 2.8559
ATOMIC_POSITIONS angstrom
Mg 3.8839 3.8839 0.0000
Mg 3.8839 7.7679 1.4280
Hg 0.0000 0.0000 0.0000
Hg 7.7679 3.8839 1.4280
Ag 5.7767 1.9420 0.7140
Ag 1.9912 5.8259 0.7140
Ag 5.8259 5.8752 2.1419
Ag 9.7099 9.6606 2.1419
! - calculated volume (Å³/cell) = 172.33
! - space-group type = I-42d
! - E_tot (eV per cell) = -14.4
! - energy relative to the elements (meV per atom) = 103

***

! Mg6Ag2Hg GGA-PBE optimized geometry; values from VASP
&SYSTEM
  ibrav = 0, nat = 9, ntyp = 3
/
ATOMIC_SPECIES
Mg 24.30 Mg.upf
Ag 107.87 Ag.upf
Hg 200.59 Hg.upf
CELL_PARAMETERS angstrom
4.8418 0.0000 0.0000
-2.4209 4.1897 0.0040
0.0000 -0.0155 9.0291
ATOMIC_POSITIONS angstrom
Mg 2.4209 1.3821 8.4962
Mg 0.0000 2.7921 0.5369
Mg 2.4209 4.1862 1.6661
Mg 0.0000 2.7868 3.6124
Mg 0.0000 -0.0121 7.3670
Mg 2.4209 1.3873 5.4207
Ag 0.0000 2.7826 6.7629
Ag 2.4209 1.3916 2.2702
Hg 0.0000 -0.0078 4.5145
! - calculated volume (Å³/cell) = 183.16
! - space-group type = P-3m1
! - E_tot (eV per cell) = -16.9
! - energy relative to the elements (meV per atom) = -147

***

! Mg5AgHg GGA-PBE optimized geometry; values from VASP
&SYSTEM
  ibrav = 0, nat = 14, ntyp = 3
/
ATOMIC_SPECIES
Mg 24.30 Mg.upf
Ag 107.87 Ag.upf
Hg 200.59 Hg.upf
CELL_PARAMETERS angstrom
-5.4276 1.1541 -0.7924
-0.8885 -2.4192 4.9776
3.4670 9.0172 2.8570
ATOMIC_POSITIONS angstrom
Mg -5.3609 1.0705 2.7102
Mg -0.1396 3.1869 3.8633
Mg -1.9224 4.2368 6.3061
Mg -3.9165 2.9012 0.7409
Mg -3.0446 -1.0443 3.5282
Mg 0.1954 8.7964 3.5140
Mg 1.0674 4.8509 6.3013
Mg -0.9268 3.5153 0.7361
Mg -2.7096 4.5652 3.1789
Mg 2.5118 6.6816 4.3320
Ag 0.0000 0.0000 0.0000
Ag 1.7335 4.5086 1.4285
Hg -2.3045 1.6321 2.7901
Hg -0.5446 6.1199 4.2521
! - calculated volume (Å³/cell) = 303.67
! - space-group type = C2/c
! - E_tot (eV per cell) = -23.5
! - energy relative to the elements (meV per atom) = -89

***

! Mg3Ag6Hg2 GGA-PBE optimized geometry; values from VASP
&SYSTEM
  ibrav = 0, nat = 11, ntyp = 3
/
ATOMIC_SPECIES
Mg 24.30 Mg.upf
Ag 107.87 Ag.upf
Hg 200.59 Hg.upf
CELL_PARAMETERS angstrom
-0.8828 -0.9760 3.8682
1.4722 -4.1235 -2.8277
9.4515 4.3584 3.2886
ATOMIC_POSITIONS angstrom
Mg 0.0000 0.0000 0.0000
Mg 3.7850 -2.6563 2.3942
Mg 6.2560 1.9152 1.9349
Ag 9.1943 1.4472 2.5095
Ag 7.4367 2.6383 4.5522
Ag 0.8467 -2.1883 1.8196
Ag 2.6042 -3.3794 -0.2231
Ag 5.8842 -1.0401 1.1219
Ag 4.1567 0.2990 3.2072
Hg 2.9511 -0.4552 0.5795
Hg 7.0898 -0.2858 3.7496
! - calculated volume (Å³/cell) = 207.48
! - space-group type = P-1
! - E_tot (eV per cell) = -24.0
! - energy relative to the elements (meV per atom) = -138

***

! Mg4AgHg2 GGA-PBE optimized geometry; values from VASP
&SYSTEM
  ibrav = 0, nat = 7, ntyp = 3
/
ATOMIC_SPECIES
Mg 24.30 Mg.upf
Ag 107.87 Ag.upf
Hg 200.59 Hg.upf
CELL_PARAMETERS angstrom
-1.6315 4.1180 1.7439
-4.1671 0.1274 2.2978
1.7195 0.0246 8.0478
ATOMIC_POSITIONS angstrom
Mg -4.4153 3.7188 6.5794
Mg 0.3362 0.5513 5.5101
Mg -3.3877 2.6483 3.5713
Mg -0.6914 1.6217 8.5182
Ag 0.0000 0.0000 0.0000
Hg -3.0696 3.2064 9.0482
Hg -1.0095 1.0636 3.0413
! - calculated volume (Å³/cell) = 152.23
! - space-group type = R-3m
! - E_tot (eV per cell) = -11.2
! - energy relative to the elements (meV per atom) = -195
! - distance to the lowest polymorph of the same formula (meV per atom) = 0

***

! Mg2Ag8Hg3 GGA-PBE optimized geometry; values from VASP
&SYSTEM
  ibrav = 0, nat = 13, ntyp = 3
/
ATOMIC_SPECIES
Mg 24.30 Mg.upf
Ag 107.87 Ag.upf
Hg 200.59 Hg.upf
CELL_PARAMETERS angstrom
5.5316 0.0000 0.0000
2.7658 4.7905 0.0000
2.7658 1.5968 10.3401
ATOMIC_POSITIONS angstrom
Mg 5.5316 3.1937 0.7707
Mg 5.5316 3.1937 9.5694
Ag 8.2974 4.7905 8.4417
Ag 2.7658 1.5968 1.8984
Ag 4.1499 3.9914 3.0908
Ag 5.5316 1.5982 3.0908
Ag 6.9134 3.9914 3.0908
Ag 5.5316 4.7892 7.2494
Ag 6.9134 2.3959 7.2494
Ag 4.1499 2.3959 7.2494
Hg 0.0000 0.0000 0.0000
Hg 8.2974 4.7905 5.5962
Hg 2.7658 1.5968 4.7440
! - calculated volume (Å³/cell) = 274.01
! - space-group type = R-3m
! - E_tot (eV per cell) = -26.1
! - energy relative to the elements (meV per atom) = 60

***

! Mg4Ag2Hg GGA-PBE optimized geometry; values from VASP
&SYSTEM
  ibrav = 0, nat = 7, ntyp = 3
/
ATOMIC_SPECIES
Mg 24.30 Mg.upf
Ag 107.87 Ag.upf
Hg 200.59 Hg.upf
CELL_PARAMETERS angstrom
-2.7004 -2.1636 3.2327
1.5448 -3.9424 2.1200
2.8054 2.1569 7.2553
ATOMIC_POSITIONS angstrom
Mg 0.0884 -4.4716 7.4858
Mg 1.5615 0.5225 5.1223
Mg -0.3018 -3.4550 4.3720
Mg 1.9516 -0.4941 8.2360
Ag 1.2488 -2.9469 9.4756
Ag 0.4011 -1.0022 3.1325
Hg 0.0000 0.0000 0.0000
! - calculated volume (Å³/cell) = 147.50
! - space-group type = R-3m
! - E_tot (eV per cell) = -13.5
! - energy relative to the elements (meV per atom) = -156
! - distance to the lowest polymorph of the same formula (meV per atom) = 0

***

! Mg8Ag6Hg GGA-PBE optimized geometry; values from VASP
&SYSTEM
  ibrav = 0, nat = 15, ntyp = 3
/
ATOMIC_SPECIES
Mg 24.30 Mg.upf
Ag 107.87 Ag.upf
Hg 200.59 Hg.upf
CELL_PARAMETERS angstrom
8.1211 0.0000 0.0000
4.0606 7.0331 0.0000
4.0606 2.3444 5.6403
ATOMIC_POSITIONS angstrom
Mg 6.8390 2.2862 1.9567
Mg 9.5608 2.3771 3.6837
Mg 5.3994 4.5978 3.6837
Mg 12.1817 7.0331 5.6265
Mg 4.0606 2.3444 0.0138
Mg 10.8429 4.7796 1.9567
Mg 6.6816 7.0004 1.9567
Mg 9.4033 7.0913 3.6837
Ag 6.8525 2.3377 4.7678
Ag 9.5229 2.4145 0.8726
Ag 5.4507 4.6119 0.8726
Ag 10.7916 4.7656 4.7678
Ag 6.7194 6.9630 4.7678
Ag 9.3898 7.0398 0.8726
Hg 0.0000 0.0000 0.0000
! - calculated volume (Å³/cell) = 322.16
! - space-group type = R-3
! - E_tot (eV per cell) = -32.0
! - energy relative to the elements (meV per atom) = -120

***

! Mg3Ag2Hg3 GGA-PBE optimized geometry; values from VASP
&SYSTEM
  ibrav = 0, nat = 8, ntyp = 3
/
ATOMIC_SPECIES
Mg 24.30 Mg.upf
Ag 107.87 Ag.upf
Hg 200.59 Hg.upf
CELL_PARAMETERS angstrom
-2.4038 -1.3563 1.7196
-4.4426 -0.0688 -6.2644
4.5154 -6.0104 1.5716
ATOMIC_POSITIONS angstrom
Mg -1.1735 -3.0473 -0.9690
Mg -3.9132 -0.7201 -2.9633
Mg 1.5538 -4.3462 1.8189
Ag 1.5294 -4.0299 -1.0404
Ag -1.4566 -2.0493 -3.6524
Hg 0.0553 -4.6132 -3.5612
Hg -1.0713 -0.0166 -1.5106
Hg 1.0889 -1.4494 0.3790
! - calculated volume (Å³/cell) = 166.11
! - space-group type = P-62m
! - E_tot (eV per cell) = -12.6
! - energy relative to the elements (meV per atom) = -156
! - distance to the lowest polymorph of the same formula (meV per atom) = 3

***

! MgAgHg2 GGA-PBE optimized geometry; values from VASP
&SYSTEM
  ibrav = 0, nat = 4, ntyp = 3
/
ATOMIC_SPECIES
Mg 24.30 Mg.upf
Hg 200.59 Hg.upf
Ag 107.87 Ag.upf
CELL_PARAMETERS angstrom
9.3372 0.0015 0.0009
8.7517 3.2544 0.0009
8.7517 1.5753 2.8477
ATOMIC_POSITIONS angstrom
Mg 6.7102 1.2078 0.7124
Hg 26.8132 4.8262 2.8466
Hg 13.4477 2.4205 1.4277
Ag 20.1305 3.6234 2.1371
! - calculated volume (Å³/cell) = 86.47
! - space-group type = R-3m
! - E_tot (eV per cell) = -5.1
! - energy relative to the elements (meV per atom) = -1

***

! MgAgHg2 GGA-PBE optimized geometry; values from VASP
&SYSTEM
  ibrav = 0, nat = 4, ntyp = 3
/
ATOMIC_SPECIES
Mg 24.30 Mg.upf
Hg 200.59 Hg.upf
Ag 107.87 Ag.upf
CELL_PARAMETERS angstrom
9.9196 0.1243 0.0733
9.3540 3.3040 0.0733
9.3540 1.6638 2.8554
ATOMIC_POSITIONS angstrom
Mg 14.1447 2.5159 1.4832
Hg 0.1700 0.0302 0.0178
Hg 7.0163 1.2480 0.7357
Ag 21.6105 3.8439 2.2661
! - calculated volume (Å³/cell) = 88.02
! - space-group type = R3m
! - E_tot (eV per cell) = -5.1
! - energy relative to the elements (meV per atom) = -19

***

! Mg5Ag3Hg12 GGA-PBE optimized geometry; values from VASP
&SYSTEM
  ibrav = 0, nat = 80, ntyp = 3
/
ATOMIC_SPECIES
Ag 107.87 Ag.upf
Mg 24.30 Mg.upf
Hg 200.59 Hg.upf
CELL_PARAMETERS angstrom
14.3919 0.0000 0.0000
-4.7973 13.5689 0.0000
-4.7973 -6.7844 11.7510
ATOMIC_POSITIONS angstrom
Ag 8.3953 4.2403 1.4689
Ag 8.3953 9.3286 1.4689
Ag -1.1993 5.9364 7.3444
Ag 1.1993 -0.8481 4.4066
Ag 10.7940 0.0000 2.9377
Ag 1.1993 6.7844 2.9377
Ag 3.5980 0.0000 8.8132
Ag -5.9966 6.7844 8.8132
Ag 3.5980 7.6325 7.3444
Ag 5.9966 0.8481 4.4066
Ag -3.5980 -2.5442 10.2821
Ag -3.5980 2.5442 10.2821
Mg -1.1993 3.3922 2.9377
Mg -2.3987 6.7844 0.0000
Mg 0.0000 0.0000 0.0000
Mg 3.5980 2.5442 1.4689
Mg 4.7973 -3.3922 5.8755
Mg 4.7973 6.7844 0.0000
Mg -3.5980 7.6325 4.4066
Mg 5.9966 -4.2403 10.2821
Mg 5.9966 5.9364 4.4066
Mg 1.1993 -3.3922 8.8132
Mg 3.5980 10.1766 2.9377
Mg 2.3987 3.3922 5.8755
Mg 7.1960 0.0000 0.0000
Mg -2.3987 -3.3922 5.8755
Mg -1.1993 0.8481 7.3444
Mg -1.1993 11.0247 1.4689
Mg -4.7973 3.3922 5.8755
Mg 8.3953 -0.8481 7.3444
Mg 1.1993 4.2403 10.2821
Mg 5.9966 3.3922 8.8132
Hg 9.5371 1.4476 0.7683
Hg 0.0576 4.7813 5.0060
Hg 10.4301 3.0677 3.1620
Hg 6.3605 2.1877 1.6378
Hg 1.8142 5.4024 7.8207
Hg 9.9032 6.6654 1.9452
Hg -0.8355 7.6644 4.7997
Hg -3.9618 11.3811 1.6378
Hg 0.5844 8.1664 7.8207
Hg 6.8874 6.9035 1.9452
Hg 7.2535 3.4507 4.2377
Hg 7.2535 12.1213 0.7683
Hg -4.2129 6.0819 6.6438
Hg 2.7073 5.1593 1.0757
Hg -4.8549 10.1182 4.2377
Hg 2.4562 -2.0031 6.7450
Hg -0.5844 0.6795 2.7135
Hg 2.7073 8.5286 0.8695
Hg 6.3605 10.5011 3.1620
Hg -0.3086 5.0403 0.8695
Hg -2.9831 7.4640 9.0375
Hg 3.2341 5.9044 4.7997
Hg 6.6116 7.4869 6.6438
Hg 5.1059 -1.6251 10.6752
Hg 1.5632 0.8800 6.9512
Hg -1.8142 -0.7025 5.1072
Hg -0.3086 8.4095 1.0757
Hg -1.5632 -3.7167 8.5890
Hg 7.7804 -0.6795 2.7135
Hg 5.1059 1.7442 10.8815
Hg 2.0900 -1.7442 10.8815
Hg 2.3411 8.7875 5.0060
Hg 5.3817 6.1049 9.0375
Hg 9.6522 -3.3338 7.5133
Hg 9.0102 0.7025 5.1072
Hg -2.4562 -5.3369 10.9827
Hg 2.0900 1.6251 10.6752
Hg 4.2129 -1.3820 3.9302
Hg -2.0900 -0.1191 9.8057
Hg -2.4562 3.3338 7.5133
Hg 8.7592 -4.5967 10.1132
Hg 5.6328 -0.8800 6.9512
Hg -1.5632 4.5967 10.1132
Hg -5.1059 0.1191 9.8057
Hg 2.9831 1.3820 3.9302
Hg -5.6328 3.7167 8.5890
Hg 4.7398 2.0031 6.7450
Hg -4.7398 5.3369 10.9827
! - calculated volume (Å³/cell) = 2294.76
! - space-group type = Ia-3d
! - E_tot (eV per cell) = -72.7
! - energy relative to the elements (meV per atom) = 99

***

> The highest energy relative to the elements belongs to which entry?

MgAg2Hg

***

Please write out number 10 again, unchanged.
! MgAgHg2 GGA-PBE optimized geometry; values from VASP
&SYSTEM
  ibrav = 0, nat = 4, ntyp = 3
/
ATOMIC_SPECIES
Mg 24.30 Mg.upf
Hg 200.59 Hg.upf
Ag 107.87 Ag.upf
CELL_PARAMETERS angstrom
9.3372 0.0015 0.0009
8.7517 3.2544 0.0009
8.7517 1.5753 2.8477
ATOMIC_POSITIONS angstrom
Mg 6.7102 1.2078 0.7124
Hg 26.8132 4.8262 2.8466
Hg 13.4477 2.4205 1.4277
Ag 20.1305 3.6234 2.1371
! - calculated volume (Å³/cell) = 86.47
! - space-group type = R-3m
! - E_tot (eV per cell) = -5.1
! - energy relative to the elements (meV per atom) = -1